Record 1
Entry from Alexandria: ScGaPbS4 after structural relaxation (GGA-PBE).

**E**: -72.48 eV/cell
**Formation energy (no corrections)**: -0.952 eV/atom
**Theoretical density**: 4.60 Mg/m³
**Crystal system**: monoclinic
**Magnetization**: 0.0 μB per cell
**Symmetry**: P2_1/m, No. 11

a b c (Å): 6.411 6.717 7.883
angles (deg): 90.00 106.66 90.00
Positions (direct):
Sc: 0.790 0.750 0.449
Sc: 0.210 0.250 0.551
Ga: 0.243 0.750 0.329
Ga: 0.757 0.250 0.671
Pb: 0.753 0.750 0.940
Pb: 0.247 0.250 0.060
S: 0.003 0.505 0.714
S: 0.997 0.005 0.286
S: 0.997 0.495 0.286
S: 0.003 0.995 0.714
S: 0.464 0.750 0.152
S: 0.536 0.250 0.848
S: 0.489 0.750 0.598
S: 0.511 0.250 0.402

Record 2
Entry from Alexandria: SmGaPbS4 after structural relaxation (GGA-PBE).

**E**: -70.92 eV/cell
**Formation energy (no corrections)**: -1.071 eV/atom
**Theoretical density**: 5.43 Mg/m³
**Crystal system**: monoclinic
**Magnetization**: 0.0 μB per cell
**Symmetry**: P2_1/m, No. 11

a b c (Å): 6.615 6.680 8.040
angles (deg): 90.00 106.85 90.00
Positions (direct):
Sm: 0.773 0.750 0.441
Sm: 0.227 0.250 0.559
Ga: 0.237 0.750 0.313
Ga: 0.763 0.250 0.687
Pb: 0.746 0.750 0.930
Pb: 0.254 0.250 0.070
S: 0.998 0.508 0.734
S: 0.002 0.008 0.266
S: 0.002 0.492 0.266
S: 0.998 0.992 0.734
S: 0.438 0.750 0.130
S: 0.562 0.250 0.870
S: 0.441 0.750 0.595
S: 0.559 0.250 0.405

Record 3
Entry from Alexandria: GaSnPb2S5 after structural relaxation (GGA-PBE).

**E**: -79.30 eV/cell
**Formation energy (no corrections)**: -0.507 eV/atom
**Theoretical density**: 5.86 Mg/m³
**Crystal system**: orthorhombic
**Magnetization**: 0.0 μB per cell
**Symmetry**: Cmc2_1, No. 36

a b c (Å): 3.858 9.028 12.719
angles (deg): 90.00 90.00 102.34
Positions (direct):
Ga: 0.552 0.104 0.929
Ga: 0.448 0.896 0.429
Sn: 0.795 0.590 0.528
Sn: 0.205 0.410 0.028
Pb: 0.873 0.746 0.824
Pb: 0.121 0.242 0.673
Pb: 0.127 0.254 0.324
Pb: 0.879 0.758 0.173
S: 0.354 0.707 0.011
S: 0.679 0.358 0.877
S: 0.489 0.977 0.775
S: 0.289 0.579 0.675
S: 0.961 0.922 0.533
S: 0.646 0.293 0.511
S: 0.321 0.642 0.377
S: 0.511 0.023 0.275
S: 0.711 0.421 0.175
S: 0.039 0.078 0.033

Record 4
Entry from Alexandria: GaTePb2S5 after structural relaxation (GGA-PBE).

**E**: -74.56 eV/cell
**Formation energy (no corrections)**: -0.340 eV/atom
**Theoretical density**: 5.68 Mg/m³
**Crystal system**: orthorhombic
**Magnetization**: 0.0 μB per cell
**Symmetry**: Cmc2_1, No. 36

a b c (Å): 4.168 9.443 11.770
angles (deg): 90.00 90.00 102.75
Positions (direct):
Ga: 0.566 0.131 0.945
Ga: 0.434 0.869 0.445
Te: 0.778 0.555 0.533
Te: 0.222 0.445 0.033
Pb: 0.886 0.771 0.804
Pb: 0.118 0.235 0.695
Pb: 0.114 0.229 0.304
Pb: 0.882 0.765 0.195
S: 0.354 0.708 0.003
S: 0.675 0.350 0.848
S: 0.490 0.980 0.790
S: 0.278 0.556 0.658
S: 0.945 0.891 0.549
S: 0.646 0.292 0.503
S: 0.325 0.650 0.348
S: 0.510 0.020 0.290
S: 0.722 0.444 0.158
S: 0.055 0.109 0.049

Record 5
Entry from Alexandria: TmGaPbS4 after structural relaxation (GGA-PBE).

**E**: -70.10 eV/cell
**Formation energy (no corrections)**: -1.047 eV/atom
**Theoretical density**: 5.73 Mg/m³
**Crystal system**: monoclinic
**Magnetization**: 0.0 μB per cell
**Symmetry**: P2_1/m, No. 11

a b c (Å): 6.511 6.703 7.962
angles (deg): 90.00 106.66 90.00
Positions (direct):
Tm: 0.780 0.750 0.444
Tm: 0.220 0.250 0.556
Ga: 0.239 0.750 0.320
Ga: 0.761 0.250 0.680
Pb: 0.748 0.750 0.933
Pb: 0.252 0.250 0.067
S: 0.000 0.507 0.723
S: 0.000 0.007 0.277
S: 0.000 0.493 0.277
S: 0.000 0.993 0.723
S: 0.450 0.750 0.140
S: 0.550 0.250 0.860
S: 0.461 0.750 0.598
S: 0.539 0.250 0.402

Record 6
Entry from Alexandria: Tm6Ga2PbS3 after structural relaxation (GGA-PBE).

**E**: -63.51 eV/cell
**Formation energy (no corrections)**: -1.212 eV/atom
**Theoretical density**: 8.79 Mg/m³
**Crystal system**: monoclinic
**Magnetization**: 0.0 μB per cell
**Symmetry**: C2/m, No. 12

a b c (Å): 3.841 8.412 9.403
angles (deg): 111.91 101.79 90.00
Positions (direct):
Tm: 0.321 0.890 0.641
Tm: 0.654 0.628 0.307
Tm: 0.679 0.110 0.359
Tm: 0.003 0.278 0.006
Tm: 0.997 0.722 0.994
Tm: 0.346 0.372 0.693
Ga: 0.808 0.598 0.616
Ga: 0.192 0.402 0.384
Pb: 0.500 0.000 0.000
S: 0.500 0.500 0.000
S: 0.837 0.139 0.674
S: 0.163 0.861 0.326

Record 7
Entry from Alexandria: GaPbWS2 after structural relaxation (GGA-PBE).

**E**: -27.21 eV/cell
**Formation energy (no corrections)**: 0.146 eV/atom
**Theoretical density**: 6.73 Mg/m³
**Crystal system**: tetragonal
**Magnetization**: 0.0 μB per cell
**Symmetry**: P4/mmm, No. 123

a b c (Å): 4.674 5.926 4.674
angles (deg): 90.00 90.00 90.00
Positions (direct):
Pb: 0.000 0.500 0.000
S: 0.000 0.000 0.500
S: 0.500 0.000 0.000
Ga: 0.500 0.500 0.500
W: 0.000 0.000 0.000

Record 8
Entry from Alexandria: YGaPbS4 after structural relaxation (GGA-PBE).

**E**: -74.29 eV/cell
**Formation energy (no corrections)**: -1.062 eV/atom
**Theoretical density**: 4.88 Mg/m³
**Crystal system**: monoclinic
**Magnetization**: 0.0 μB per cell
**Symmetry**: P2_1/m, No. 11

a b c (Å): 6.559 6.697 7.992
angles (deg): 90.00 106.73 90.00
Positions (direct):
Y: 0.776 0.750 0.443
Y: 0.224 0.250 0.557
Ga: 0.238 0.750 0.317
Ga: 0.762 0.250 0.683
Pb: 0.747 0.750 0.931
Pb: 0.253 0.250 0.069
S: 0.999 0.507 0.728
S: 0.001 0.007 0.272
S: 0.001 0.493 0.272
S: 0.999 0.993 0.728
S: 0.445 0.750 0.135
S: 0.555 0.250 0.865
S: 0.452 0.750 0.597
S: 0.548 0.250 0.403

Record 9
Entry from Alexandria: GaSb2Pb after structural relaxation (GGA-PBE).

**E**: -14.51 eV/cell
**Formation energy (no corrections)**: 0.118 eV/atom
**Theoretical density**: 8.15 Mg/m³
**Crystal system**: tetragonal
**Magnetization**: 0.0 μB per cell
**Symmetry**: P4/mmm, No. 123

a b c (Å): 3.685 3.685 7.812
angles (deg): 90.00 90.00 90.00
Positions (direct):
Pb: 0.500 0.500 0.500
Sb: 0.000 0.000 0.785
Sb: 0.000 0.000 0.215
Ga: 0.500 0.500 0.000

Record 10
Entry from Alexandria: Ga2SbPb after structural relaxation (GGA-PBE).

**E**: -13.15 eV/cell
**Formation energy (no corrections)**: 0.184 eV/atom
**Theoretical density**: 6.21 Mg/m³
**Crystal system**: trigonal
**Magnetization**: 0.0 μB per cell
**Symmetry**: R-3m, No. 166

a b c (Å): 4.040 4.040 9.160
angles (deg): 77.26 77.26 60.00
Positions (direct):
Pb: 0.000 0.000 0.000
Sb: 0.500 0.500 0.500
Ga: 0.109 0.109 0.673
Ga: 0.891 0.891 0.327

Record 11
Entry from Alexandria: Ga2SbPb after structural relaxation (GGA-PBE).

**E**: -13.52 eV/cell
**Formation energy (no corrections)**: 0.092 eV/atom
**Theoretical density**: 7.76 Mg/m³
**Crystal system**: tetragonal
**Magnetization**: 0.0 μB per cell
**Symmetry**: P4/mmm, No. 123

a b c (Å): 4.272 4.843 4.843
angles (deg): 90.00 90.00 90.00
Positions (direct):
Pb: 0.500 0.500 0.500
Sb: 0.500 0.000 0.000
Ga: 0.000 0.000 0.500
Ga: 0.000 0.500 0.000

Record 12
Entry from Alexandria: GaSb2Pb after structural relaxation (GGA-PBE).

**E**: -14.46 eV/cell
**Formation energy (no corrections)**: 0.131 eV/atom
**Theoretical density**: 7.76 Mg/m³
**Crystal system**: trigonal
**Magnetization**: 0.0 μB per cell
**Symmetry**: R-3m, No. 166

a b c (Å): 3.377 3.377 11.441
angles (deg): 81.51 81.51 60.00
Positions (direct):
Pb: 0.000 0.000 0.000
Sb: 0.096 0.096 0.713
Sb: 0.904 0.904 0.287
Ga: 0.500 0.500 0.500